# 1
A relaxed TlIrSe2 crystal. Source: the Alexandria database, functional GGA-PBE.

Cell and atoms, written as POSCAR:
```
TlIrSe2
1.0
-2.3539 3.7490 -1.8886
-3.0016 -3.7109 0.6037
-3.5411 1.2122 3.0132
Ir Tl Se
1 1 2
direct
0.5000 0.5000 0.0000
0.0000 0.5000 0.5000
0.0000 0.0000 0.0000
0.5000 0.0000 0.5000
```

Values from the calculation:
* formation energy (no corrections): 423.3 meV per atom
* Fermi-level density of states: 0.627 states/eV/atom
* M_tot: 0.00 μB per atom
* total energy: -4.126 eV per atom

***

# 2
A relaxed ZrBeCl2 crystal. Source: the Alexandria database, functional GGA-PBE.

Cell and atoms, written as POSCAR:
```
ZrBeCl2
1.0
-3.8079 1.2350 -1.2220
-0.5842 -3.6397 -1.8578
-1.6108 -1.5197 3.4837
Be Cl Zr
1 2 1
direct
0.5000 0.0000 0.5000
0.0000 0.5000 0.5000
0.0000 0.0000 0.0000
0.5000 0.5000 0.0000
```

Values from the calculation:
* formation energy (no corrections): 27.6 meV per atom
* Fermi-level density of states: 0.809 states/eV/atom
* M_tot: 0.00 μB per atom
* total energy: -3.964 eV per atom

***

# 3
A relaxed Re4TcBr crystal. Source: the Alexandria database, functional GGA-PBE.

Cell and atoms, written as POSCAR:
```
Re4TcBr
1.0
0.0000 3.6891 3.6891
3.6891 0.0000 3.6891
3.6891 3.6891 0.0000
Re Tc Br
4 1 1
direct
0.3749 0.8753 0.3749
0.3749 0.3749 0.8753
0.3749 0.3749 0.3749
0.8753 0.3749 0.3749
0.7500 0.7500 0.7500
0.0000 0.0000 0.0000
```

Values from the calculation:
* formation energy (no corrections): 1139.6 meV per atom
* Fermi-level density of states: 0.861 states/eV/atom
* M_tot: 0.00 μB per atom
* total energy: -9.166 eV per atom

***

# 4
A relaxed RbRePt3 crystal. Source: the Alexandria database, functional GGA-PBE.

Cell and atoms, written as POSCAR:
```
RbRePt3
1.0
-0.9095 -2.1295 4.4191
-1.3791 -4.2022 -2.3088
4.7076 -1.6424 0.1774
Rb Pt Re
1 3 1
direct
0.0000 0.0000 0.0000
0.0000 0.5000 0.0000
0.0000 0.0000 0.5000
0.5000 0.0000 0.0000
0.5000 0.5000 0.5000
```

Values from the calculation:
* Fermi-level density of states: 1.205 states/eV/atom
* M_tot: 0.92 μB per atom
* total energy: -3.340 eV per atom
* energy relative to the elements: 2.97 eV/atom